# YNp2Sb3 PBE relaxed
data_YNp2Sb3
_space_group_name_H-M_alt 'F d d d'
_space_group_IT_number 70
_cell_length_a 8.798
_cell_length_b 12.430
_cell_length_c 26.351
_cell_angle_alpha 90.00
_cell_angle_beta 90.00
_cell_angle_gamma 90.00
loop_
_space_group_symop_operation_xyz
'x,y,z'
'-x,-y,-z'
'-x+1/4,-y+1/4,z'
'x+1/4,y+1/4,-z'
'x,-y+1/4,-z+1/4'
'-x,y+1/4,z+1/4'
'-x+1/4,y,-z+1/4'
'x+1/4,-y,z+1/4'
'x,y+1/2,z+1/2'
'-x,-y+1/2,-z+1/2'
'-x+1/4,-y+3/4,z+1/2'
'x+1/4,y+3/4,-z+1/2'
'x,-y+3/4,-z+3/4'
'-x,y+3/4,z+3/4'
'-x+1/4,y+1/2,-z+3/4'
'x+1/4,-y+1/2,z+3/4'
'x+1/2,y,z+1/2'
'-x+1/2,-y,-z+1/2'
'-x+3/4,-y+1/4,z+1/2'
'x+3/4,y+1/4,-z+1/2'
'x+1/2,-y+1/4,-z+3/4'
'-x+1/2,y+1/4,z+3/4'
'-x+3/4,y,-z+3/4'
'x+3/4,-y,z+3/4'
'x+1/2,y+1/2,z'
'-x+1/2,-y+1/2,-z'
'-x+3/4,-y+3/4,z'
'x+3/4,y+3/4,-z'
'x+1/2,-y+3/4,-z+1/4'
'-x+1/2,y+3/4,z+1/4'
'-x+3/4,y+1/2,-z+1/4'
'x+3/4,-y+1/2,z+1/4'
loop_
_atom_site_label
_atom_site_type_symbol
_atom_site_fract_x
_atom_site_fract_y
_atom_site_fract_z
Y1 Y 0.125 0.125 0.042
Np1 Np 0.125 0.125 0.375
Np2 Np 0.125 0.125 0.542
Sb1 Sb 0.124 0.375 0.375
Sb2 Sb 0.125 0.375 0.042
# raw total energy = -47.8 eV/f.u.
# DOS(E_F) = 341.118 states/eV per cell
# formation energy from raw total energies = -0.513 eV per atom